(1)
Below is a relaxed structure of TiBi3O, with properties calculated at the PBE level.

a = 4.8874 Å, b = 4.8874 Å, c = 4.8874 Å
α = 90.00°, β = 90.00°, γ = 90.00°
With the nearest neighbours (Å) after each atom.
Space group Pm-3m (No. 221)
Symmetry-distinct sites (fractional):
Ti  0.0000  0.0000  0.0000 x1  12 Bi 3.46
Bi  0.0000  0.5000  0.5000 x3  2 O 2.44
O  0.5000  0.5000  0.5000 x1  6 Bi 2.44

* raw formation energy: -0.17 eV/f.u.
* crystal system: cubic
* DOS(E_F): 4.23 states/eV/cell

(2)
Below is a relaxed structure of Ti3Bi4O12, with properties calculated at the PBE level.

a = 33.9355 Å, b = 5.4841 Å, c = 5.5539 Å
α = 90.00°, β = 90.00°, γ = 90.00°
With the nearest neighbours (Å) after each atom.
Space group Aea2 (No. 41)
Symmetry-distinct sites (fractional):
Ti  0.0000  0.0000  0.0000 x4  4 O 1.85-2.00
Ti  0.1277  0.0294  0.9925 x8  3 O 1.79-1.97
Bi  0.0666  0.0570  0.4430 x8  4 O 2.22-2.46
Bi  0.2121  0.4602  0.9023 x8  3 O 2.19-2.41
O  0.0054  0.2409  0.2903 x8  1 Ti 1.85
O  0.0583  0.4865  0.5454 x8  1 Ti 2.00
O  0.1149  0.2636  0.2675 x8  2 Ti 1.97-2.04
O  0.1176  0.2758  0.7698 x8  1 Ti 1.86
O  0.1804  0.0284  0.0062 x8  1 Ti 1.79
O  0.2493  0.2233  0.6810 x8  3 Bi 2.19-2.41

* raw formation energy: -39.74 eV/f.u.
* crystal system: orthorhombic
* DOS(E_F): 0.00 states/eV/cell

(3)
Below is a relaxed structure of Ti2BiO2, with properties calculated at the PBE level.

a = 3.5846 Å, b = 3.5846 Å, c = 11.6751 Å
α = 90.00°, β = 90.00°, γ = 90.00°
With the nearest neighbours (Å) after each atom.
Space group I4/mmm (No. 139)
Symmetry-distinct sites (fractional):
Ti  0.0000  0.0000  0.1661 x4  4 O 2.04
Bi  0.0000  0.0000  0.5000 x2  8 Ti 3.19, 8 O 3.43
O  0.0000  0.5000  0.2500 x4  4 Ti 2.04

* raw formation energy: -9.18 eV/f.u.
* crystal system: tetragonal
* DOS(E_F): 5.79 states/eV/cell

(4)
Below is a relaxed structure of TiBi2O5, with properties calculated at the PBE level.

a = 15.8006 Å, b = 7.1529 Å, c = 11.2163 Å
α = 90.00°, β = 122.64°, γ = 90.00°
With the nearest neighbours (Å) after each atom.
Space group C2/c (No. 15)
Symmetry-distinct sites (fractional):
Ti  0.1872  0.1007  0.3090 x8  4 O 1.82-1.84
Bi  0.0420  0.2523  0.4865 x8  3 O 2.20-2.32
Bi  0.1391  0.3803  0.8441 x8  4 O 2.24-2.45
O  0.0193  0.3996  0.9039 x8  2 Bi 2.20-2.33
O  0.0892  0.0020  0.1382 x8  1 Ti 1.83
O  0.1267  0.3083  0.3261 x8  1 Ti 1.83
O  0.1927  0.3527  0.6765 x8  1 Ti 1.84
O  0.2102  0.0632  0.9478 x8  1 Ti 1.82

* raw formation energy: -15.28 eV/f.u.
* crystal system: monoclinic
* DOS(E_F): 0.00 states/eV/cell

(5)
Below is a relaxed structure of TiBiO3, with properties calculated at the PBE level.

a = 11.7611 Å, b = 3.6388 Å, c = 6.6792 Å
α = 90.00°, β = 99.52°, γ = 90.00°
With the nearest neighbours (Å) after each atom.
Space group C2/m (No. 12)
Symmetry-distinct sites (fractional):
Ti  0.1270  0.0000  0.4194 x4  4 O 1.84-2.00
Bi  0.1113  0.5000  0.9129 x4  4 O 2.41-2.43
O  0.0429  0.0000  0.6834 x4  2 Ti 2.00-2.16
O  0.1468  0.0000  0.1513 x4  1 Ti 1.84
O  0.1710  0.5000  0.4841 x4  2 Ti 1.92

* raw formation energy: -10.62 eV/f.u.
* crystal system: monoclinic

(6)
Below is a relaxed structure of Ti3Bi4O12, with properties calculated at the PBE level.

a = 33.7195 Å, b = 5.4385 Å, c = 5.5138 Å
α = 90.00°, β = 90.31°, γ = 90.00°
With the nearest neighbours (Å) after each atom.
Space group Cc (No. 9)
Symmetry-distinct sites (fractional):
Ti  0.0000  0.2435  0.0000 x4  4 O 1.85-2.02
Ti  0.1315  0.2476  0.9983 x4  2 O 1.75-1.93
Ti  0.3757  0.2559  0.5033 x4  3 O 1.81-1.94
Bi  0.0697  0.2574  0.4504 x4  6 O 2.30-2.56
Bi  0.2176  0.2526  0.4197 x4  4 O 2.22-2.39
Bi  0.2944  0.2370  0.9135 x4  4 O 2.23-2.44
Bi  0.4370  0.2433  0.9619 x4  5 O 2.32-2.46
O  0.0079  0.0468  0.3281 x4  1 Ti 1.86
O  0.0567  0.3204  0.0459 x4  1 Ti 1.97
O  0.1134  0.0148  0.7471 x4  2 Ti 1.97-2.07
O  0.1232  0.4695  0.2927 x4  2 Ti 1.93-2.04
O  0.1833  0.2146  0.0037 x4  1 Ti 1.75
O  0.2542  0.0028  0.1946 x4  4 Bi 2.22-2.43
O  0.2547  0.4966  0.6906 x4  4 Bi 2.24-2.50
O  0.3234  0.1853  0.5131 x4  1 Ti 1.81
O  0.3768  0.4469  0.8245 x4  2 Ti 1.89-2.05
O  0.3930  0.0339  0.2491 x4  2 Ti 1.94-2.16
O  0.4420  0.3295  0.5517 x4  1 Ti 2.02
O  0.4889  0.0363  0.2521 x4  1 Ti 1.85

* raw formation energy: -40.05 eV/f.u.
* crystal system: monoclinic
* DOS(E_F): 0.00 states/eV/cell

(7)
Below is a relaxed structure of TiTl2BiO6, with properties calculated at the PBE level.

a = 11.6854 Å, b = 10.0327 Å, c = 7.1952 Å
α = 90.00°, β = 121.95°, γ = 90.00°
With the nearest neighbours (Å) after each atom.
Space group C2/c (No. 15)
Symmetry-distinct sites (fractional):
Ti  0.0000  0.1945  0.2500 x4  4 O 1.83-1.85
Tl  0.2235  0.4697  0.1940 x8  4 O 2.22-2.48
Bi  0.0000  0.2478  0.7500 x4  4 O 2.15-2.28
O  0.0451  0.3000  0.0913 x8  1 Ti 1.83
O  0.1432  0.0861  0.4380 x8  1 Ti 1.85
O  0.1641  0.3858  0.8627 x8  1 Bi 2.15, 2 Tl 2.22-2.26

* raw formation energy: -13.99 eV/f.u.
* crystal system: monoclinic
* DOS(E_F): 12.55 states/eV/cell

(8)
Below is a relaxed structure of TiTl2BiO4, with properties calculated at the PBE level.

a = 7.6326 Å, b = 8.2656 Å, c = 5.2764 Å
α = 90.00°, β = 90.00°, γ = 90.00°
With the nearest neighbours (Å) after each atom.
Space group Pmn2_1 (No. 31)
Symmetry-distinct sites (fractional):
Ti  0.0000  0.1166  0.0000 x2  4 O 1.83-1.86
Tl  0.2300  0.3648  0.5235 x4  1 O 2.61
Bi  0.0000  0.8281  0.5306 x2  4 O 2.18-2.35
O  0.0000  0.0806  0.6522 x2  1 Ti 1.86
O  0.0000  0.9118  0.1370 x2  1 Ti 1.84
O  0.2000  0.2275  0.0811 x4  1 Ti 1.83

* raw formation energy: -12.46 eV/f.u.
* crystal system: orthorhombic
* DOS(E_F): 1.24 states/eV/cell

(9)
Below is a relaxed structure of TmTiBi2O6, with properties calculated at the PBE level.

a = 5.9430 Å, b = 5.7239 Å, c = 9.8618 Å
α = 90.00°, β = 125.26°, γ = 90.00°
With the nearest neighbours (Å) after each atom.
Space group P2_1/c (No. 14)
Symmetry-distinct sites (fractional):
Tm  0.0000  0.0000  0.0000 x2  6 O 2.23-2.25
Ti  0.5000  0.0000  0.5000 x2  6 O 1.99-2.05
Bi  0.2828  0.0388  0.7571 x4  6 O 2.40-2.56
O  0.1659  0.0341  0.2686 x4  1 Ti 1.99
O  0.3144  0.7256  0.0659 x4  1 Ti 2.03, 1 Tm 2.23
O  0.3486  0.2457  0.0733 x4  1 Ti 2.05, 1 Tm 2.25

* raw formation energy: -21.95 eV/f.u.
* crystal system: monoclinic
* DOS(E_F): 4.69 states/eV/cell

(10)
Below is a relaxed structure of UTiBiO6, with properties calculated at the PBE level.

a = 5.5147 Å, b = 5.5147 Å, c = 9.7780 Å
α = 90.00°, β = 90.00°, γ = 120.00°
With the nearest neighbours (Å) after each atom.
Space group P-31c (No. 163)
Symmetry-distinct sites (fractional):
U  0.3333  0.6667  0.2500 x2  6 O 2.15
Ti  0.3333  0.6667  0.7500 x2  6 O 1.99
Bi  0.0000  0.0000  0.0000 x2  6 O 2.41
O  0.0217  0.3708  0.6397 x12  1 Ti 1.99, 1 U 2.15

* raw formation energy: -23.31 eV/f.u.
* crystal system: trigonal
* DOS(E_F): 3.40 states/eV/cell